# NiINO2

Crystalline NiINO2 at its relaxed geometry (GGA+U, the Alexandria database).

Cell and atoms, written as POSCAR:
```
NiINO2
1.0
-0.6127 2.4348 2.3968
-0.2271 -2.4586 2.4396
7.4519 0.5985 1.2969
I Ni O N
1 1 2 1
Cartesian
3.7260 0.2992 0.6485
0.0000 0.0000 0.0000
-0.1136 -1.2293 1.2198
-0.3063 1.2174 1.1984
3.3061 0.2873 3.0666
```

Computed properties:
VASP energy   -3.573 eV/atom